# 1
DFT (PBE) results for a relaxed structure of BeCoSbI2.

Calculated volume, Å³/atom: 27.9
Polymorph energy (0 for the lowest one), meV/atom: 0.0
E_form (uncorrected), meV/atom: 825

a b c (Å): 5.401 5.401 4.778
angles (deg): 90.00 90.00 90.00
Space group P4/mmm (No. 123)
One atom of each set of equivalent atoms:
Be 0.000 0.000 0.000
Co 0.500 0.500 0.500
Sb 0.500 0.500 0.000
I 0.000 0.500 0.500

# 2
DFT (PBE) results for a relaxed structure of SiMoAsI2.

Calculated volume, Å³/atom: 32.5
E_form (uncorrected), meV/atom: 1326

a b c (Å): 5.881 5.881 4.694
angles (deg): 90.00 90.00 90.00
Space group P4/mmm (No. 123)
One atom of each set of equivalent atoms:
Si 0.000 0.000 0.000
Mo 0.500 0.500 0.000
As 0.000 0.000 0.500
I 0.000 0.500 0.500

# 3
DFT (PBE) results for a relaxed structure of ZrMo.

Calculated volume, Å³/atom: 25.2
ΔE_f, eV per formula unit: 3.19
Polymorph energy (0 for the lowest one), meV/atom: 1637.0

a b c (Å): 4.6345 4.6345 5.4113
angles (deg): 90.00 90.00 120.00
Space group P6_3/mmc (No. 194)
One atom of each set of equivalent atoms:
Zr 0.3333 0.6667 0.2500
Mo 0.3333 0.6667 0.7500